Entry 1:
ZrMn2Co | Alexandria via LeMat-Bulk | GGA-PBE | optimized geometry; energy of formation from the pure elements = 0.069 eV per atom; M_tot = 7.0 μB per formula unit; N(E_F) = 0.926 states/eV per atom
1.0
-1.067 0.529 -4.940
0.471 -2.333 -4.490
-3.438 -2.045 -1.255
Mn Zr Co
2 1 1
direct
0.977 0.977 0.023
0.747 0.747 0.753
0.514 0.514 0.486
0.261 0.261 0.239

Entry 2:
ZrMnCo | Alexandria via LeMat-Bulk | GGA-PBE | optimized geometry; energy of formation from the pure elements = 0.712 eV per atom; distance to the lowest polymorph of the same formula = 969 meV per atom; M_tot = 3.3 μB per formula unit; N(E_F) = 1.010 states/eV per atom
1.0
-3.206 -2.218 1.655
-1.735 -3.176 -2.199
0.609 -4.007 1.229
Zr Co Mn
1 1 1
direct
0.750 0.750 0.750
0.000 0.000 0.000
0.500 0.500 0.500

Entry 3:
CoMo | Alexandria via LeMat-Bulk | GGA-PBE | optimized geometry; energy of formation from the pure elements = 0.411 eV per atom; M_tot = 1.6 μB per formula unit; N(E_F) = 1.472 states/eV per atom
1.0
0.099 1.475 -3.822
-3.419 -1.744 1.435
-2.426 6.895 2.597
Mo Co
4 4
direct
0.333 0.667 0.423
0.667 0.333 0.923
0.667 0.333 0.577
0.333 0.667 0.077
0.000 0.000 0.250
0.667 0.333 0.250
0.000 0.000 0.750
0.333 0.667 0.750

Entry 4:
Co4Mo | Alexandria via LeMat-Bulk | GGA-PBE | optimized geometry; energy of formation from the pure elements = 0.825 eV per atom; M_tot = 6.1 μB per formula unit; N(E_F) = 1.220 states/eV per atom
1.0
4.526 0.000 0.000
0.000 8.085 0.000
0.000 0.000 8.085
Co Mo
16 4
direct
0.223 0.000 0.000
0.500 0.894 0.205
0.500 0.205 0.106
0.500 0.705 0.394
0.500 0.295 0.606
0.500 0.607 0.107
0.500 0.893 0.607
0.500 0.795 0.894
0.500 0.106 0.795
0.223 0.500 0.500
0.500 0.107 0.393
0.777 0.500 0.500
0.500 0.393 0.893
0.500 0.394 0.295
0.500 0.606 0.705
0.777 0.000 0.000
0.000 0.601 0.899
0.000 0.899 0.399
0.000 0.399 0.101
0.000 0.101 0.601

Entry 5:
CoMo | Alexandria via LeMat-Bulk | GGA-PBE | optimized geometry; energy of formation from the pure elements = 0.096 eV per atom; M_tot = 0.0 μB per formula unit; N(E_F) = 1.145 states/eV per atom
1.0
4.822 0.002 -0.004
2.872 4.824 -0.007
-3.580 -3.691 2.255
Co Mo
2 2
direct
0.080 0.726 0.354
0.003 0.024 0.979
0.643 0.269 0.373
0.441 0.481 0.960

Entry 6:
Co4Mo | Alexandria via LeMat-Bulk | GGA-PBE | optimized geometry; energy of formation from the pure elements = 1.205 eV per atom; M_tot = 3.6 μB per formula unit; N(E_F) = 1.742 states/eV per atom
1.0
-2.677 2.677 2.677
2.677 -2.677 2.677
2.677 2.677 -2.677
Co Mo
4 1
direct
0.000 0.000 0.500
0.500 0.500 0.500
0.500 0.000 0.000
0.000 0.500 0.000
0.000 0.000 0.000

Entry 7:
Co4Mo | Alexandria via LeMat-Bulk | GGA-PBE | optimized geometry; energy of formation from the pure elements = 0.373 eV per atom; M_tot = 3.3 μB per formula unit; N(E_F) = 1.222 states/eV per atom
1.0
5.383 1.968 1.931
2.580 5.445 0.512
-4.834 -3.507 0.952
Co Mo
4 1
direct
0.400 0.400 0.000
0.600 0.600 0.000
0.750 0.250 0.500
0.250 0.750 0.500
0.000 0.000 0.000

Entry 8:
Co4Mo3 | Alexandria via LeMat-Bulk | GGA-PBE | optimized geometry; energy of formation from the pure elements = 0.411 eV per atom; distance to the lowest polymorph of the same formula = 271 meV per atom; M_tot = 3.5 μB per formula unit; N(E_F) = 1.281 states/eV per atom
1.0
2.477 -4.291 0.000
2.477 4.291 0.000
0.000 0.000 4.557
Co Mo
4 3
direct
0.000 0.000 0.263
0.000 0.000 0.737
0.333 0.667 0.500
0.667 0.333 0.500
0.500 0.500 0.000
0.000 0.500 0.000
0.500 0.000 0.000

> energy of formation from the pure elements of number 1 (ZrMn2Co)?

0.069 eV per atom

> What is the M_tot in the third record?

1.6 μB per formula unit

Repeat the eighth record exactly.
Co4Mo3 | Alexandria via LeMat-Bulk | GGA-PBE | optimized geometry; energy of formation from the pure elements = 0.411 eV per atom; distance to the lowest polymorph of the same formula = 271 meV per atom; M_tot = 3.5 μB per formula unit; N(E_F) = 1.281 states/eV per atom
1.0
2.477 -4.291 0.000
2.477 4.291 0.000
0.000 0.000 4.557
Co Mo
4 3
direct
0.000 0.000 0.263
0.000 0.000 0.737
0.333 0.667 0.500
0.667 0.333 0.500
0.500 0.500 0.000
0.000 0.500 0.000
0.500 0.000 0.000